(1)
This record from OQMD describes a relaxed CsTlAu crystal. The functional is GGA-PBE.

Cell lengths 5.6124, 5.6124, 5.6124 Å; angles 60.00, 60.00, 60.00 degrees
Closest atoms and distances in Å follow each position.
Element x y z (fractional)
1 Cs 0.0000 0.0000 0.0000  4 Tl 3.44
2 Tl 0.7500 0.7500 0.7500  4 Cs 3.44, 4 Au 3.44
3 Au 0.5000 0.5000 0.5000  4 Tl 3.44

The value obtained for the total DFT energy (no corrections) is -0.150 Ry per atom. As for the symmetry: F-43m, No. 216.



(2)
This record from OQMD describes a relaxed K2CuMoSe4 crystal. The functional is GGA-PBE.

Cell lengths 13.7127, 12.2556, 7.3804 Å; angles 84.72, 62.87, 32.41 degrees
Closest atoms and distances in Å follow each position.
Element x y z (fractional)
1 K 0.0548 0.0548 0.6952  8 Se 3.49-3.63
2 K 0.3048 0.3048 0.9452  8 Se 3.49-3.63
3 K 0.6952 0.6952 0.0548  8 Se 3.49-3.63
4 K 0.9452 0.9452 0.3048  8 Se 3.49-3.63
5 Cu 0.3750 0.3750 0.3750  4 Se 2.45
6 Cu 0.6250 0.6250 0.6250  4 Se 2.45
7 Mo 0.1250 0.1250 0.1250  4 Se 2.40
8 Mo 0.8750 0.8750 0.8750  4 Se 2.40
9 Se 0.0429 0.3215 0.4128  1 Mo 2.40, 1 Cu 2.45
10 Se 0.2772 0.5872 0.6785  1 Mo 2.40, 1 Cu 2.45
11 Se 0.3215 0.0429 0.7228  1 Mo 2.40, 1 Cu 2.45
12 Se 0.4128 0.7228 0.0429  1 Mo 2.40, 1 Cu 2.45
13 Se 0.5872 0.2772 0.9571  1 Mo 2.40, 1 Cu 2.45
14 Se 0.6785 0.9571 0.2772  1 Mo 2.40, 1 Cu 2.45
15 Se 0.7228 0.4128 0.3215  1 Mo 2.40, 1 Cu 2.45
16 Se 0.9571 0.6785 0.5872  1 Mo 2.40, 1 Cu 2.45

The value obtained for the total DFT energy (no corrections) is -0.335 Ry per atom. The calculation puts the total magnetic moment at 0.999 μB per formula unit. As for the symmetry: Fddd, No. 70.



(3)
This record from OQMD describes a relaxed AcTmAsO crystal. The functional is GGA-PBE.

Cell lengths 4.5728, 7.4370, 6.3910 Å; angles 90.00, 90.00, 90.00 degrees
Closest atoms and distances in Å follow each position.
Element x y z (fractional)
1 Ac 0.0000 0.2097 0.0000  2 O 2.56
2 Ac 0.0000 0.7903 0.5000  2 O 2.56
3 Tm 0.5000 0.3923 0.5859  2 O 2.15-2.20
4 Tm 0.5000 0.6077 0.0859  2 O 2.15-2.20
5 As 0.0000 0.2045 0.4956  2 Tm 2.74
6 As 0.0000 0.7955 0.9956  2 Tm 2.74
7 O 0.5000 0.3523 0.9272  2 Tm 2.15-2.20
8 O 0.5000 0.6477 0.4272  2 Tm 2.15-2.20

As for the offset from the most stable computed form: 4.1 kJ/mol of atoms. The calculation puts the total magnetic moment at 0.013 μB per formula unit. As for the symmetry: Pmc2_1, No. 26.



(4)
This record from OQMD describes a relaxed CdSnTeO crystal. The functional is GGA-PBE.

Cell lengths 7.8295, 8.2538, 6.4179 Å; angles 90.00, 90.00, 90.00 degrees
Closest atoms and distances in Å follow each position.
Element x y z (fractional)
1 Cd 0.0995 0.1541 0.0000  1 O 2.22
2 Cd 0.4005 0.1541 0.5000  1 O 2.22
3 Cd 0.5995 0.8459 0.0000  1 O 2.22
4 Cd 0.9005 0.8459 0.5000  1 O 2.22
5 Sn 0.1396 0.5576 0.8344  2 O 2.15
6 Sn 0.3604 0.5576 0.3344  2 O 2.15
7 Sn 0.6396 0.4424 0.8344  2 O 2.15
8 Sn 0.8604 0.4424 0.3344  2 O 2.15
9 Te 0.0381 0.1582 0.5537  3 Cd 2.81-2.90, 1 Sn 3.07
10 Te 0.4619 0.1582 0.0537  3 Cd 2.81-2.90, 1 Sn 3.07
11 Te 0.5381 0.8418 0.5537  3 Cd 2.81-2.90, 1 Sn 3.07
12 Te 0.9619 0.8418 0.0537  3 Cd 2.81-2.90, 1 Sn 3.07
13 O 0.0197 0.4069 0.0652  2 Sn 2.15, 1 Cd 2.22
14 O 0.4803 0.4069 0.5652  2 Sn 2.15, 1 Cd 2.22
15 O 0.5197 0.5931 0.0652  2 Sn 2.15, 1 Cd 2.22
16 O 0.9803 0.5931 0.5652  2 Sn 2.15, 1 Cd 2.22

As for the offset from the most stable computed form: 5.3 kJ/mol of atoms. As for the symmetry: Pca2_1, No. 29.



(5)
This record from OQMD describes a relaxed LiTaNbRe crystal. The functional is GGA-PBE.

Cell lengths 4.4791, 4.4791, 4.4791 Å; angles 60.00, 60.00, 60.00 degrees
Closest atoms and distances in Å follow each position.
Element x y z (fractional)
1 Li 0.0000 0.0000 0.0000  4 Nb 2.74, 4 Re 2.74
2 Ta 0.5000 0.5000 0.5000  4 Nb 2.74, 4 Re 2.74
3 Nb 0.7500 0.7500 0.7500  4 Ta 2.74, 4 Li 2.74
4 Re 0.2500 0.2500 0.2500  4 Ta 2.74, 4 Li 2.74

As for the offset from the most stable computed form: 25.7 kJ/mol of atoms. The calculation puts the total magnetic moment at 0.318 μB per formula unit. As for the symmetry: F-43m, No. 216.



(6)
This record from OQMD describes a relaxed KP2Au2 crystal. The functional is GGA-PBE.

Cell lengths 6.1070, 6.1070, 11.4130 Å; angles 90.00, 90.00, 147.56 degrees
Closest atoms and distances in Å follow each position.
Element x y z (fractional)
1 K 0.0198 0.9802 0.7500  7 Au 3.09-3.33, 2 K 3.41
2 K 0.9802 0.0198 0.2500  7 Au 3.09-3.33, 2 K 3.41
3 P 0.3003 0.6997 0.5425  2 P 2.29, 2 Au 2.38-2.39
4 P 0.3003 0.6997 0.9575  2 P 2.29, 2 Au 2.38-2.39
5 P 0.6997 0.3003 0.0425  2 P 2.29, 2 Au 2.38-2.39
6 P 0.6997 0.3003 0.4575  2 P 2.29, 2 Au 2.38-2.39
7 Au 0.2830 0.7170 0.7500  2 P 2.38
8 Au 0.5000 0.5000 0.0000  2 P 2.39
9 Au 0.5000 0.5000 0.5000  2 P 2.39
10 Au 0.7170 0.2830 0.2500  2 P 2.38

The value obtained for the total DFT energy (no corrections) is -0.290 Ry per atom. As for the symmetry: Cmcm, No. 63.



(7)
This record from OQMD describes a relaxed Dy2Sc2CI2Br2Cl crystal. The functional is GGA-PBE.

Cell lengths 10.1135, 10.1135, 7.8564 Å; angles 100.90, 100.90, 21.36 degrees
Closest atoms and distances in Å follow each position.
Element x y z (fractional)
1 Dy 0.0010 0.0010 0.2907  2 C 2.50
2 Dy 0.9990 0.9990 0.7093  2 C 2.50
3 Sc 0.3858 0.3858 0.4377  1 C 2.23
4 Sc 0.6142 0.6142 0.5623  1 C 2.23
5 C 0.5000 0.5000 0.5000  2 Sc 2.23, 4 Dy 2.50
6 I 0.1596 0.1596 0.3231  2 Sc 2.92, 1 Dy 3.11
7 I 0.8404 0.8404 0.6769  2 Sc 2.92, 1 Dy 3.11
8 Br 0.1471 0.1471 0.8183  2 Sc 2.73, 1 Dy 2.90
9 Br 0.8529 0.8529 0.1817  2 Sc 2.73, 1 Dy 2.90
10 Cl 0.5000 0.5000 0.0000  4 Dy 2.95

As for the offset from the most stable computed form: 0.0 kJ/mol of atoms. The calculation puts the total magnetic moment at 0.235 μB per formula unit. As for the symmetry: C2/m, No. 12.



(8)
This record from OQMD describes a relaxed PrSmClO3 crystal. The functional is GGA-PBE.

Cell lengths 6.2713, 6.2713, 10.2546 Å; angles 114.06, 114.06, 39.05 degrees
Closest atoms and distances in Å follow each position.
Element x y z (fractional)
1 Pr 0.1004 0.1004 0.3987  6 O 2.28-2.51
2 Pr 0.8996 0.8996 0.6013  6 O 2.28-2.51
3 Sm 0.2875 0.2875 0.8168  4 O 2.19-2.35
4 Sm 0.7125 0.7125 0.1832  4 O 2.19-2.35
5 Cl 0.3902 0.3902 0.1251  1 Sm 2.85
6 Cl 0.6098 0.6098 0.8749  1 Sm 2.85
7 O 0.1024 0.1024 0.6322  1 Sm 2.19, 2 Pr 2.28-2.38
8 O 0.1412 0.1412 0.1882  2 Sm 2.27, 1 Pr 2.41
9 O 0.3159 0.3159 0.6037  3 Pr 2.32-2.51, 1 Sm 2.35
10 O 0.6841 0.6841 0.3963  3 Pr 2.32-2.51, 1 Sm 2.35
11 O 0.8588 0.8588 0.8118  2 Sm 2.27, 1 Pr 2.41
12 O 0.8976 0.8976 0.3678  1 Sm 2.19, 2 Pr 2.28-2.38

The value obtained for the total DFT energy (no corrections) is -0.519 Ry per atom. The calculation puts the total magnetic moment at 0.998 μB per formula unit. As for the symmetry: C2/m, No. 12.



(9)
This record from OQMD describes a relaxed Lu2NbAg crystal. The functional is GGA-PBE.

Cell lengths 5.0007, 5.0007, 5.0007 Å; angles 60.00, 60.00, 60.00 degrees
Closest atoms and distances in Å follow each position.
Element x y z (fractional)
1 Lu 0.0000 0.0000 0.0000  4 Ag 3.06, 4 Lu 3.06
2 Lu 0.2500 0.2500 0.2500  4 Nb 3.06, 4 Lu 3.06
3 Nb 0.5000 0.5000 0.5000  4 Ag 3.06, 4 Lu 3.06
4 Ag 0.7500 0.7500 0.7500  4 Nb 3.06, 4 Lu 3.06

The calculation puts the formation enthalpy at 0 K at 0.327 eV per atom. The calculation puts the total magnetic moment at 1.846 μB per formula unit. As for the symmetry: F-43m, No. 216.



(10)
This record from OQMD describes a relaxed Pr2Ni2Sn crystal. The functional is GGA-PBE.

Cell lengths 5.6261, 5.6261, 5.6261 Å; angles 133.66, 118.55, 80.31 degrees
Closest atoms and distances in Å follow each position.
Element x y z (fractional)
1 Pr 0.2035 0.2035 0.0000  6 Ni 3.03-3.08, 4 Sn 3.37-3.38
2 Pr 0.7965 0.7965 0.0000  6 Ni 3.03-3.08, 4 Sn 3.37-3.38
3 Ni 0.2150 0.5000 0.7150  1 Ni 2.47, 2 Sn 2.75
4 Ni 0.7850 0.5000 0.2850  1 Ni 2.47, 2 Sn 2.75
5 Sn 0.5000 0.0000 0.5000  4 Ni 2.75

The value obtained for the total DFT energy (no corrections) is -0.400 Ry per atom. The calculation puts the total magnetic moment at 0.001 μB per formula unit. As for the symmetry: Immm, No. 71.



(11)
This record from OQMD describes a relaxed ZnGaCoW crystal. The functional is GGA-PBE.

Cell lengths 4.2710, 4.2710, 4.2710 Å; angles 60.00, 60.00, 60.00 degrees
Closest atoms and distances in Å follow each position.
Element x y z (fractional)
1 Zn 0.0000 0.0000 0.0000  4 Co 2.62, 4 W 2.62
2 Ga 0.5000 0.5000 0.5000  4 Co 2.62, 4 W 2.62
3 Co 0.7500 0.7500 0.7500  4 Zn 2.62, 4 Ga 2.62
4 W 0.2500 0.2500 0.2500  4 Zn 2.62, 4 Ga 2.62

As for the offset from the most stable computed form: 2.9 kJ/mol of atoms. The calculation puts the total magnetic moment at 2.233 μB per formula unit. As for the symmetry: F-43m, No. 216.



(12)
This record from OQMD describes a relaxed ZrSnIr2 crystal. The functional is GGA-PBE.

Cell lengths 4.6559, 4.6559, 4.6559 Å; angles 60.00, 60.00, 60.00 degrees
Closest atoms and distances in Å follow each position.
Element x y z (fractional)
1 Zr 0.0000 0.0000 0.0000  4 Sn 2.85, 4 Ir 2.85
2 Sn 0.7500 0.7500 0.7500  4 Zr 2.85, 4 Ir 2.85
3 Ir 0.2500 0.2500 0.2500  4 Zr 2.85, 4 Ir 2.85
4 Ir 0.5000 0.5000 0.5000  4 Sn 2.85, 4 Ir 2.85

The value obtained for the total DFT energy (no corrections) is -0.565 Ry per atom. The calculation puts the total magnetic moment at 0.011 μB per formula unit. As for the symmetry: F-43m, No. 216.